Density functional theory data (PBE+U) for an optimized crystal structure of Sr2FeO3F. Values from VASP.

Computed properties:
Volume: 204 Å³ per cell
Energy above the most stable polymorph in this dataset: 0.0 kJ per mole of atoms
Space-group type: P4/nmm, No. 129

```
&SYSTEM
  ibrav = 0, nat = 14, ntyp = 4
/
ATOMIC_SPECIES
O 16.00 O.upf
F 19.00 F.upf
Fe 55.84 Fe.upf
Sr 87.62 Sr.upf
CELL_PARAMETERS angstrom
-2.178 -2.157 -2.457
2.885 0.120 -2.664
5.177 -11.044 5.109
ATOMIC_POSITIONS angstrom
O 1.316 -2.808 1.299
O 3.861 -8.236 3.810
O 1.670 -3.827 -1.261
O 4.215 -9.255 1.250
O -0.662 -1.989 -0.807
O 6.193 -10.074 3.356
F 1.160 -5.876 0.990
F 4.371 -6.187 1.558
Fe 0.094 -3.602 -0.061
Fe 5.437 -8.461 2.610
Sr 1.983 -1.094 -0.798
Sr 3.547 -10.969 3.347
Sr 3.391 -4.097 0.591
Sr 2.140 -7.966 1.957
```